# PBE-GGA BeV2Rh4, optimized geometry
data_BeV2Rh4
_chemical_formula_sum 'Be2 V4 Rh8'
_space_group_name_H-M_alt 'I 4/m m m'
_space_group_IT_number 139
_space_group_name_Hall '-I 4 2'
_cell_length_a 4.064
_cell_length_b 4.064
_cell_length_c 12.329
_cell_angle_alpha 90.00
_cell_angle_beta 90.00
_cell_angle_gamma 90.00
loop_
_atom_site_label
_atom_site_fract_x
_atom_site_fract_y
_atom_site_fract_z
Be1 0.000 0.000 0.000
V1 0.000 0.000 0.359
Rh1 0.000 0.000 0.181
Rh2 0.000 0.500 0.000
# Energy = -101.236 eV/cell
# ΔE_f = 0.1073 eV/atom
# Calculated volume = 203.7 Å³/cell

---

# PBE-GGA NaLiBeBr4, optimized geometry
data_NaLiBeBr4
_chemical_formula_sum 'Na4 Li4 Be4 Br16'
_space_group_name_H-M_alt 'I m m a'
_space_group_IT_number 74
_space_group_name_Hall '-I 2b 2'
_cell_length_a 7.693
_cell_length_b 7.995
_cell_length_c 11.124
_cell_angle_alpha 90.00
_cell_angle_beta 90.00
_cell_angle_gamma 90.00
loop_
_atom_site_label
_atom_site_fract_x
_atom_site_fract_y
_atom_site_fract_z
Na1 0.250 0.250 0.250
Li1 0.000 0.000 0.000
Be1 0.000 0.250 0.628
Br1 0.000 0.025 0.745
Br2 0.240 0.250 0.512
# Energy = -89.358 eV/cell
# Calculated volume = 684.2 Å³/cell
# Formation energy (no corrections) = -1241 meV/atom

---

# PBE-GGA ScIr, optimized geometry
data_ScIr
_chemical_formula_sum 'Sc2 Ir2'
_space_group_name_H-M_alt 'P 4/n m m'
_space_group_IT_number 129
_cell_length_a 3.020
_cell_length_b 3.020
_cell_length_c 8.370
_cell_angle_alpha 90.00
_cell_angle_beta 90.00
_cell_angle_gamma 90.00
loop_
_space_group_symop_operation_xyz
'x,y,z'
'-x,-y,-z'
'-y+1/2,x,z'
'y+1/2,-x,-z'
'-x+1/2,-y+1/2,z'
'x+1/2,y+1/2,-z'
'y,-x+1/2,z'
'-y,x+1/2,-z'
'x+1/2,-y,-z'
'-x+1/2,y,z'
'-y,-x,-z'
'y,x,z'
'-x,y+1/2,-z'
'x,-y+1/2,z'
'y+1/2,x+1/2,-z'
'-y+1/2,-x+1/2,z'
loop_
_atom_site_label
_atom_site_fract_x
_atom_site_fract_y
_atom_site_fract_z
Sc1 0.250 0.250 0.187
Ir1 0.250 0.250 0.616
# Energy = -31.845 eV/cell
# ΔE_f = -0.3649 eV/atom
# Calculated volume = 76.3 Å³/cell

---

# PBE-GGA MgFe2Mo, optimized geometry
data_MgFe2Mo
_chemical_formula_sum 'Mg4 Fe8 Mo4'
_space_group_name_H-M_alt 'I -4 2 d'
_space_group_IT_number 122
_space_group_name_Hall 'I -4 2bw'
_cell_length_a 6.658
_cell_length_b 6.658
_cell_length_c 5.401
_cell_angle_alpha 90.00
_cell_angle_beta 90.00
_cell_angle_gamma 90.00
loop_
_atom_site_label
_atom_site_fract_x
_atom_site_fract_y
_atom_site_fract_z
Mg1 0.000 0.000 0.000
Fe1 0.212 0.250 0.625
Mo1 0.000 0.000 0.500
# Energy = -105.801 eV/cell
# ΔE_f = 0.7252 eV/atom
# Calculated volume = 239.4 Å³/cell

---

# PBE-GGA CaBiAsBr2, optimized geometry
data_CaBiAsBr2
_chemical_formula_sum 'Ca1 Bi1 As1 Br2'
_space_group_name_H-M_alt 'P 4/m m m'
_space_group_IT_number 123
_space_group_name_Hall '-P 4 2'
_cell_length_a 5.299
_cell_length_b 5.299
_cell_length_c 6.074
_cell_angle_alpha 90.00
_cell_angle_beta 90.00
_cell_angle_gamma 90.00
loop_
_atom_site_label
_atom_site_fract_x
_atom_site_fract_y
_atom_site_fract_z
Ca1 0.000 0.000 0.000
Bi1 0.500 0.500 0.500
As1 0.000 0.000 0.500
Br1 0.000 0.500 0.000
# Energy = -15.539 eV/cell
# Calculated volume = 170.5 Å³/cell
# Polymorph energy (0 for the lowest one) = 0.000 eV/f.u.
# Formation energy (no corrections) = -332 meV/atom

---

# PBE-GGA FeSiRu2, optimized geometry
data_FeSiRu2
_chemical_formula_sum 'Fe3 Si3 Ru6'
_space_group_name_H-M_alt 'R -3 m'
_space_group_IT_number 166
_space_group_name_Hall '-R 3 2"'
_cell_length_a 2.7701
_cell_length_b 2.7701
_cell_length_c 24.0405
_cell_angle_alpha 90.00
_cell_angle_beta 90.00
_cell_angle_gamma 120.00
loop_
_atom_site_label
_atom_site_fract_x
_atom_site_fract_y
_atom_site_fract_z
Fe1 0.0000 0.0000 0.0000
Si1 0.0000 0.0000 0.5000
Ru1 0.0000 0.0000 0.2458
# Energy = -98.270 eV/cell
# Calculated volume = 159.8 Å³/cell
# Formation energy (no corrections) = -80 meV/atom